! MgGaSnPb PBE-GGA optimized geometry; values from VASP
! Calculated formation energy ... 0.0197 eV per atom
! M_tot ... 0.00 μB/f.u.
! DFT total energy ... -3.06 eV per atom
&SYSTEM
  ibrav = 0, nat = 4, ntyp = 4
/
ATOMIC_SPECIES
Mg 24.30 Mg.upf
Ga 69.72 Ga.upf
Sn 118.71 Sn.upf
Pb 207.20 Pb.upf
CELL_PARAMETERS angstrom
0.000 3.677 3.677
3.677 0.000 3.677
3.677 3.677 0.000
ATOMIC_POSITIONS crystal
Mg 0.000 0.000 0.000
Ga 0.500 0.500 0.500
Sn 0.750 0.750 0.750
Pb 0.250 0.250 0.250



! Li2TaTl PBE-GGA optimized geometry; values from VASP
! Calculated formation energy ... 0.3480 eV per atom
! M_tot ... 0.00 μB/f.u.
! DFT total energy ... -4.16 eV per atom
&SYSTEM
  ibrav = 0, nat = 4, ntyp = 3
/
ATOMIC_SPECIES
Li 6.94 Li.upf
Ta 180.95 Ta.upf
Tl 204.38 Tl.upf
CELL_PARAMETERS angstrom
2.953 0.000 0.000
0.000 4.794 0.000
-0.407 0.000 5.288
ATOMIC_POSITIONS crystal
Li 0.152 0.000 0.232
Li 0.848 0.000 0.768
Ta 0.500 0.500 0.000
Tl 0.000 0.500 0.500



! Ho6Er8Zr PBE-GGA optimized geometry; values from VASP
! Calculated formation energy ... 0.1536 eV per atom
! M_tot ... 0.32 μB/f.u.
! DFT total energy ... -4.68 eV per atom
&SYSTEM
  ibrav = 0, nat = 15, ntyp = 3
/
ATOMIC_SPECIES
Ho 164.93 Ho.upf
Er 167.26 Er.upf
Zr 91.22 Zr.upf
CELL_PARAMETERS angstrom
9.670 0.000 0.000
-4.835 8.375 0.000
0.000 0.000 5.716
ATOMIC_POSITIONS crystal
Ho 0.093 0.622 0.256
Ho 0.378 0.471 0.256
Ho 0.471 0.093 0.744
Ho 0.529 0.907 0.256
Ho 0.622 0.529 0.744
Ho 0.907 0.378 0.744
Er 0.051 0.782 0.767
Er 0.218 0.270 0.767
Er 0.270 0.051 0.233
Er 0.333 0.667 0.765
Er 0.667 0.333 0.235
Er 0.730 0.949 0.767
Er 0.782 0.730 0.233
Er 0.949 0.218 0.233
Zr 0.000 0.000 0.500



! LiAl PBE-GGA optimized geometry; values from VASP
! Calculated formation energy ... -0.0354 eV per atom
! M_tot ... 0.00 μB/f.u.
! DFT total energy ... -2.86 eV per atom
&SYSTEM
  ibrav = 0, nat = 8, ntyp = 2
/
ATOMIC_SPECIES
Li 6.94 Li.upf
Al 26.98 Al.upf
CELL_PARAMETERS angstrom
0.000 3.951 7.705
2.349 0.000 7.705
2.349 3.951 0.000
ATOMIC_POSITIONS crystal
Li 0.042 0.708 0.042
Li 0.292 0.958 0.292
Li 0.708 0.042 0.708
Li 0.958 0.292 0.958
Al 0.292 0.292 0.458
Al 0.458 0.458 0.292
Al 0.542 0.542 0.708
Al 0.708 0.708 0.542



! LaSn2S4 PBE-GGA optimized geometry; values from VASP
! M_tot ... 0.00 μB/f.u.
! ΔE_f (raw) ... -0.98 eV/atom
! DFT total energy ... -5.18 eV per atom
&SYSTEM
  ibrav = 0, nat = 14, ntyp = 3
/
ATOMIC_SPECIES
La 138.91 La.upf
Sn 118.71 Sn.upf
S 32.06 S.upf
CELL_PARAMETERS angstrom
1.999 -6.558 0.000
1.999 6.558 0.000
0.000 0.000 13.363
ATOMIC_POSITIONS crystal
La 0.114 0.886 0.750
La 0.886 0.114 0.250
Sn 0.369 0.631 0.565
Sn 0.369 0.631 0.935
Sn 0.631 0.369 0.065
Sn 0.631 0.369 0.435
S 0.000 0.000 0.000
S 0.000 0.000 0.500
S 0.278 0.722 0.122
S 0.278 0.722 0.378
S 0.460 0.540 0.750
S 0.540 0.460 0.250
S 0.722 0.278 0.622
S 0.722 0.278 0.878



! Ti3Ge2H PBE-GGA optimized geometry; values from VASP
! Distance to the lowest polymorph of the same formula ... 0.086 eV per atom
! M_tot ... 0.00 μB/f.u.
! DFT total energy ... -6.51 eV per atom
&SYSTEM
  ibrav = 0, nat = 12, ntyp = 3
/
ATOMIC_SPECIES
Ti 47.87 Ti.upf
Ge 72.64 Ge.upf
H 1.01 H.upf
CELL_PARAMETERS angstrom
4.770 -2.590 0.000
4.770 2.590 0.000
-1.956 0.000 6.924
ATOMIC_POSITIONS crystal
Ti 0.171 0.829 0.750
Ti 0.217 0.493 0.352
Ti 0.493 0.217 0.852
Ti 0.507 0.783 0.148
Ti 0.783 0.507 0.648
Ti 0.829 0.171 0.250
Ge 0.024 0.268 0.007
Ge 0.268 0.024 0.507
Ge 0.732 0.976 0.493
Ge 0.976 0.732 0.993
H 0.485 0.515 0.250
H 0.515 0.485 0.750



! TcMo2Pb PBE-GGA optimized geometry; values from VASP
! Calculated formation energy ... 0.5679 eV per atom
! M_tot ... 0.00 μB/f.u.
! DFT total energy ... -8.37 eV per atom
&SYSTEM
  ibrav = 0, nat = 4, ntyp = 3
/
ATOMIC_SPECIES
Tc 98.00 Tc.upf
Mo 95.94 Mo.upf
Pb 207.20 Pb.upf
CELL_PARAMETERS angstrom
1.640 -2.401 0.000
1.640 2.401 0.000
0.000 0.000 9.152
ATOMIC_POSITIONS crystal
Tc 0.000 0.000 0.000
Mo 0.000 0.000 0.448
Mo 0.500 0.500 0.221
Pb 0.500 0.500 0.726



! AcCuAg3 PBE-GGA optimized geometry; values from VASP
! Calculated formation energy ... -0.1485 eV per atom
! M_tot ... 0.00 μB/f.u.
! DFT total energy ... -3.50 eV per atom
&SYSTEM
  ibrav = 0, nat = 5, ntyp = 3
/
ATOMIC_SPECIES
Ac 227.00 Ac.upf
Cu 63.55 Cu.upf
Ag 107.87 Ag.upf
CELL_PARAMETERS angstrom
0.000 3.057 6.040
3.050 0.000 6.040
3.050 3.057 0.000
ATOMIC_POSITIONS crystal
Ac 0.000 0.000 0.000
Cu 0.398 0.398 0.602
Ag 0.266 0.266 0.234
Ag 0.613 0.613 0.387
Ag 0.766 0.766 0.734